{"formula": "LaHf2TiPb", "functional": "GGA-PBE", "state": "optimized geometry", "final_energy_ev_per_atom": -6.646, "ef_ev_per_atom": 0.6414, "vol_a3_per_atom": 27.468, "lattice": [[5.056, 0.000, 0.000], [0.000, 5.056, 0.000], [0.000, 0.000, 5.372]], "species": ["La", "Hf", "Hf", "Ti", "Pb"], "fractional_positions": [[0.000, 0.000, 0.000], [0.000, 0.500, 0.500], [0.500, 0.000, 0.500], [0.000, 0.000, 0.500], [0.500, 0.500, 0.000]]}

{"formula": "LaHf2PbW", "functional": "GGA-PBE", "state": "optimized geometry", "final_energy_ev_per_atom": -7.727, "ef_ev_per_atom": 0.5721, "vol_a3_per_atom": 28.487, "lattice": [[5.127, 0.000, 0.000], [0.000, 5.127, 0.000], [0.000, 0.000, 5.419]], "species": ["La", "Hf", "Hf", "Pb", "W"], "fractional_positions": [[0.000, 0.000, 0.000], [0.000, 0.500, 0.500], [0.500, 0.000, 0.500], [0.500, 0.500, 0.000], [0.500, 0.500, 0.500]]}

{"formula": "La2HfZnPb", "functional": "GGA-PBE", "state": "optimized geometry", "final_energy_ev_per_atom": -4.429, "ef_ev_per_atom": 0.5295, "vol_a3_per_atom": 32.452, "lattice": [[5.647, 0.000, 0.000], [0.000, 5.647, 0.000], [0.000, 0.000, 5.089]], "species": ["La", "La", "Hf", "Zn", "Pb"], "fractional_positions": [[0.000, 0.500, 0.000], [0.500, 0.000, 0.000], [0.000, 0.000, 0.500], [0.500, 0.500, 0.000], [0.500, 0.500, 0.500]]}

{"formula": "La3HfPd12", "functional": "GGA-PBE", "state": "optimized geometry", "final_energy_ev_per_atom": -6.257, "ef_ev_per_atom": -0.8168, "vol_a3_per_atom": 18.209, "lattice": [[4.178, 0.000, 0.000], [0.000, 4.178, 0.000], [0.000, 0.000, 16.691]], "species": ["La", "La", "La", "Hf", "Pd", "Pd", "Pd", "Pd", "Pd", "Pd", "Pd", "Pd", "Pd", "Pd", "Pd", "Pd"], "fractional_positions": [[0.000, 0.000, 0.000], [0.000, 0.000, 0.255], [0.000, 0.000, 0.745], [0.000, 0.000, 0.500], [0.000, 0.500, 0.129], [0.000, 0.500, 0.387], [0.000, 0.500, 0.613], [0.000, 0.500, 0.871], [0.500, 0.000, 0.129], [0.500, 0.000, 0.387], [0.500, 0.000, 0.613], [0.500, 0.000, 0.871], [0.500, 0.500, 0.000], [0.500, 0.500, 0.258], [0.500, 0.500, 0.500], [0.500, 0.500, 0.742]]}

{"formula": "LaHf2Pd9", "functional": "GGA-PBE", "state": "optimized geometry", "final_energy_ev_per_atom": -6.818, "ef_ev_per_atom": -0.8541, "vol_a3_per_atom": 17.029, "lattice": [[4.082, 0.000, 0.000], [0.000, 4.082, 0.000], [0.000, 0.000, 12.262]], "species": ["La", "Hf", "Hf", "Pd", "Pd", "Pd", "Pd", "Pd", "Pd", "Pd", "Pd", "Pd"], "fractional_positions": [[0.000, 0.000, 0.000], [0.000, 0.000, 0.337], [0.000, 0.000, 0.663], [0.000, 0.500, 0.181], [0.000, 0.500, 0.500], [0.000, 0.500, 0.819], [0.500, 0.000, 0.181], [0.500, 0.000, 0.500], [0.500, 0.000, 0.819], [0.500, 0.500, 0.000], [0.500, 0.500, 0.341], [0.500, 0.500, 0.659]]}

{"formula": "LaHf3Pd", "functional": "GGA-PBE", "state": "optimized geometry", "final_energy_ev_per_atom": -6.387, "ef_ev_per_atom": 1.6088, "vol_a3_per_atom": 26.169, "lattice": [[5.077, 0.000, 0.000], [0.000, 5.077, 0.000], [0.000, 0.000, 5.077]], "species": ["La", "Hf", "Hf", "Hf", "Pd"], "fractional_positions": [[0.000, 0.000, 0.000], [0.000, 0.000, 0.500], [0.000, 0.500, 0.000], [0.500, 0.000, 0.000], [0.500, 0.500, 0.500]]}

{"formula": "La3HfPd", "functional": "GGA-PBE", "state": "optimized geometry", "final_energy_ev_per_atom": -5.721, "ef_ev_per_atom": 0.2651, "vol_a3_per_atom": 35.112, "lattice": [[5.599, 0.000, 0.000], [0.000, 5.599, 0.000], [0.000, 0.000, 5.599]], "species": ["La", "La", "La", "Hf", "Pd"], "fractional_positions": [[0.000, 0.000, 0.500], [0.000, 0.500, 0.000], [0.500, 0.000, 0.000], [0.500, 0.500, 0.500], [0.000, 0.000, 0.000]]}

{"formula": "La3HfPd", "functional": "GGA-PBE", "state": "optimized geometry", "final_energy_ev_per_atom": -5.369, "ef_ev_per_atom": 0.6163, "vol_a3_per_atom": 36.434, "lattice": [[5.669, 0.000, 0.000], [0.000, 5.669, 0.000], [0.000, 0.000, 5.669]], "species": ["La", "La", "La", "Hf", "Pd"], "fractional_positions": [[0.000, 0.000, 0.500], [0.000, 0.500, 0.000], [0.500, 0.000, 0.000], [0.000, 0.000, 0.000], [0.500, 0.500, 0.500]]}

{"formula": "LaHfPd6", "functional": "GGA-PBE", "state": "optimized geometry", "final_energy_ev_per_atom": -6.600, "ef_ev_per_atom": -0.8449, "vol_a3_per_atom": 17.479, "lattice": [[4.118, 0.000, 0.000], [0.000, 4.118, 0.000], [0.000, 0.000, 8.247]], "species": ["La", "Hf", "Pd", "Pd", "Pd", "Pd", "Pd", "Pd"], "fractional_positions": [[0.000, 0.000, 0.000], [0.000, 0.000, 0.500], [0.000, 0.500, 0.267], [0.000, 0.500, 0.733], [0.500, 0.000, 0.267], [0.500, 0.000, 0.733], [0.500, 0.500, 0.000], [0.500, 0.500, 0.500]]}

{"formula": "LaHf3Pd", "functional": "GGA-PBE", "state": "optimized geometry", "final_energy_ev_per_atom": -7.729, "ef_ev_per_atom": 0.2676, "vol_a3_per_atom": 26.816, "lattice": [[5.118, 0.000, 0.000], [0.000, 5.118, 0.000], [0.000, 0.000, 5.118]], "species": ["La", "Hf", "Hf", "Hf", "Pd"], "fractional_positions": [[0.000, 0.000, 0.000], [0.000, 0.500, 0.500], [0.500, 0.000, 0.500], [0.500, 0.500, 0.000], [0.500, 0.500, 0.500]]}

{"formula": "La2HfPd9", "functional": "GGA-PBE", "state": "optimized geometry", "final_energy_ev_per_atom": -6.370, "ef_ev_per_atom": -0.8245, "vol_a3_per_atom": 17.965, "lattice": [[4.152, 0.000, 0.000], [0.000, 4.152, 0.000], [0.000, 0.000, 12.508]], "species": ["La", "La", "Hf", "Pd", "Pd", "Pd", "Pd", "Pd", "Pd", "Pd", "Pd", "Pd"], "fractional_positions": [[0.000, 0.000, 0.171], [0.000, 0.000, 0.829], [0.000, 0.000, 0.500], [0.000, 0.500, 0.000], [0.000, 0.500, 0.348], [0.000, 0.500, 0.652], [0.500, 0.000, 0.000], [0.500, 0.000, 0.348], [0.500, 0.000, 0.652], [0.500, 0.500, 0.175], [0.500, 0.500, 0.500], [0.500, 0.500, 0.825]]}

{"formula": "LaHfSi2Pd", "functional": "GGA-PBE", "state": "optimized geometry", "final_energy_ev_per_atom": -6.241, "vol_a3_per_atom": 24.773, "lattice": [[5.001, 0.000, 0.000], [0.000, 5.001, 0.000], [0.000, 0.000, 4.952]], "species": ["La", "Hf", "Si", "Si", "Pd"], "fractional_positions": [[0.000, 0.000, 0.000], [0.500, 0.500, 0.500], [0.000, 0.500, 0.500], [0.500, 0.000, 0.500], [0.500, 0.500, 0.000]]}

{"formula": "La2PmHf", "functional": "GGA-PBE", "state": "optimized geometry", "final_energy_ev_per_atom": -5.930, "ef_ev_per_atom": 0.2096, "vol_a3_per_atom": 31.675, "lattice": [[4.098, 0.000, 0.000], [0.000, 4.098, 0.000], [0.000, 0.000, 7.546]], "species": ["La", "La", "Pm", "Hf"], "fractional_positions": [[0.000, 0.000, 0.220], [0.000, 0.000, 0.780], [0.500, 0.500, 0.500], [0.500, 0.500, 0.000]]}

{"formula": "La2PmHf", "functional": "GGA-PBE", "state": "optimized geometry", "final_energy_ev_per_atom": -5.756, "ef_ev_per_atom": 0.3841, "vol_a3_per_atom": 31.148, "lattice": [[1.695, 0.978, 12.525], [-1.695, 0.978, 12.525], [0.000, -1.957, 12.525]], "species": ["La", "La", "Pm", "Hf"], "fractional_positions": [[0.081, 0.081, 0.081], [0.919, 0.919, 0.919], [0.500, 0.500, 0.500], [0.000, 0.000, 0.000]]}

{"formula": "LaPm2Hf", "functional": "GGA-PBE", "state": "optimized geometry", "final_energy_ev_per_atom": -5.865, "ef_ev_per_atom": 0.2304, "vol_a3_per_atom": 31.341, "lattice": [[4.040, 0.000, 0.000], [0.000, 4.040, 0.000], [0.000, 0.000, 7.682]], "species": ["La", "Pm", "Pm", "Hf"], "fractional_positions": [[0.000, 0.000, 0.000], [0.500, 0.500, 0.289], [0.500, 0.500, 0.711], [0.000, 0.000, 0.500]]}

{"formula": "LaPm2Hf", "functional": "GGA-PBE", "state": "optimized geometry", "final_energy_ev_per_atom": -5.910, "ef_ev_per_atom": 0.1852, "vol_a3_per_atom": 30.878, "lattice": [[4.964, 0.000, 0.000], [0.000, 4.964, 0.000], [0.000, 0.000, 5.012]], "species": ["La", "Pm", "Pm", "Hf"], "fractional_positions": [[0.000, 0.000, 0.000], [0.000, 0.500, 0.500], [0.500, 0.000, 0.500], [0.500, 0.500, 0.000]]}

{"formula": "La2PmHf", "functional": "GGA-PBE", "state": "optimized geometry", "final_energy_ev_per_atom": -5.952, "ef_ev_per_atom": 0.1878, "vol_a3_per_atom": 31.368, "lattice": [[5.043, 0.000, 0.000], [0.000, 5.043, 0.000], [0.000, 0.000, 4.934]], "species": ["La", "La", "Pm", "Hf"], "fractional_positions": [[0.000, 0.500, 0.000], [0.500, 0.000, 0.000], [0.000, 0.000, 0.500], [0.500, 0.500, 0.500]]}

{"formula": "La2PrHf", "functional": "GGA-PBE", "state": "optimized geometry", "final_energy_ev_per_atom": -5.757, "ef_ev_per_atom": 0.3903, "vol_a3_per_atom": 31.559, "lattice": [[1.700, 0.981, 12.617], [-1.700, 0.981, 12.617], [0.000, -1.962, 12.617]], "species": ["La", "La", "Pr", "Hf"], "fractional_positions": [[0.081, 0.081, 0.081], [0.919, 0.919, 0.919], [0.500, 0.500, 0.500], [0.000, 0.000, 0.000]]}

{"formula": "LaPr2Hf", "functional": "GGA-PBE", "state": "optimized geometry", "final_energy_ev_per_atom": -5.695, "ef_ev_per_atom": 0.4146, "vol_a3_per_atom": 31.717, "lattice": [[1.712, 0.989, 12.488], [-1.712, 0.989, 12.488], [0.000, -1.977, 12.488]], "species": ["La", "Pr", "Pr", "Hf"], "fractional_positions": [[0.000, 0.000, 0.000], [0.417, 0.417, 0.417], [0.583, 0.583, 0.583], [0.500, 0.500, 0.500]]}

{"formula": "LaPrHf", "functional": "GGA-PBE", "state": "optimized geometry", "final_energy_ev_per_atom": -6.370, "ef_ev_per_atom": 0.1830, "vol_a3_per_atom": 30.782, "lattice": [[-1.712, 1.712, 7.877], [1.712, -1.712, 7.877], [1.712, 1.712, -7.877]], "species": ["La", "Pr", "Hf"], "fractional_positions": [[0.000, 0.000, 0.000], [0.696, 0.696, 0.000], [0.346, 0.346, 0.000]]}

{"formula": "LaPrHf", "functional": "GGA-PBE", "state": "optimized geometry", "final_energy_ev_per_atom": -6.403, "ef_ev_per_atom": 0.1504, "vol_a3_per_atom": 31.799, "lattice": [[3.855, 0.000, 0.000], [0.000, 3.855, 0.000], [0.000, 0.000, 12.839]], "species": ["La", "La", "Pr", "Pr", "Hf", "Hf"], "fractional_positions": [[0.250, 0.250, 0.206], [0.750, 0.750, 0.794], [0.250, 0.250, 0.598], [0.750, 0.750, 0.402], [0.250, 0.250, 0.951], [0.750, 0.750, 0.049]]}

{"formula": "La2PrHf", "functional": "GGA-PBE", "state": "optimized geometry", "final_energy_ev_per_atom": -5.933, "ef_ev_per_atom": 0.2138, "vol_a3_per_atom": 32.165, "lattice": [[4.104, 0.000, 0.000], [0.000, 4.104, 0.000], [0.000, 0.000, 7.639]], "species": ["La", "La", "Pr", "Hf"], "fractional_positions": [[0.000, 0.000, 0.217], [0.000, 0.000, 0.783], [0.500, 0.500, 0.500], [0.500, 0.500, 0.000]]}

{"formula": "La2HfPt", "functional": "GGA-PBE", "state": "optimized geometry", "final_energy_ev_per_atom": -6.549, "ef_ev_per_atom": -0.0869, "vol_a3_per_atom": 26.119, "lattice": [[0.000, 3.738, 3.738], [3.738, 0.000, 3.738], [3.738, 3.738, 0.000]], "species": ["La", "La", "Hf", "Pt"], "fractional_positions": [[0.250, 0.250, 0.250], [0.750, 0.750, 0.750], [0.000, 0.000, 0.000], [0.500, 0.500, 0.500]]}

{"formula": "LaHf2Pt2", "functional": "GGA-PBE", "state": "optimized geometry", "final_energy_ev_per_atom": -8.129, "ef_ev_per_atom": -0.7457, "vol_a3_per_atom": 20.658, "lattice": [[8.098, 0.000, 0.000], [0.000, 8.098, 0.000], [0.000, 0.000, 3.150]], "species": ["La", "La", "Hf", "Hf", "Hf", "Hf", "Pt", "Pt", "Pt", "Pt"], "fractional_positions": [[0.000, 0.000, 0.000], [0.500, 0.500, 0.000], [0.151, 0.349, 0.000], [0.349, 0.849, 0.000], [0.651, 0.151, 0.000], [0.849, 0.651, 0.000], [0.141, 0.641, 0.500], [0.359, 0.141, 0.500], [0.641, 0.859, 0.500], [0.859, 0.359, 0.500]]}

{"formula": "LaHfPt3", "functional": "GGA-PBE", "state": "optimized geometry", "final_energy_ev_per_atom": -5.808, "ef_ev_per_atom": 0.7928, "vol_a3_per_atom": 26.817, "lattice": [[5.118, 0.000, 0.000], [0.000, 5.118, 0.000], [0.000, 0.000, 5.118]], "species": ["La", "Hf", "Pt", "Pt", "Pt"], "fractional_positions": [[0.000, 0.000, 0.000], [0.500, 0.500, 0.500], [0.000, 0.000, 0.500], [0.000, 0.500, 0.000], [0.500, 0.000, 0.000]]}

{"formula": "LaHfPt3", "functional": "GGA-PBE", "state": "optimized geometry", "final_energy_ev_per_atom": -7.079, "ef_ev_per_atom": -0.4786, "vol_a3_per_atom": 24.802, "lattice": [[4.987, 0.000, 0.000], [0.000, 4.987, 0.000], [0.000, 0.000, 4.987]], "species": ["La", "Hf", "Pt", "Pt", "Pt"], "fractional_positions": [[0.000, 0.000, 0.000], [0.500, 0.500, 0.500], [0.000, 0.500, 0.500], [0.500, 0.000, 0.500], [0.500, 0.500, 0.000]]}

{"formula": "LaHfPt2", "functional": "GGA-PBE", "state": "optimized geometry", "final_energy_ev_per_atom": -7.557, "ef_ev_per_atom": -0.8162, "vol_a3_per_atom": 21.404, "lattice": [[0.000, 3.498, 3.498], [3.498, 0.000, 3.498], [3.498, 3.498, 0.000]], "species": ["La", "Hf", "Pt", "Pt"], "fractional_positions": [[0.000, 0.000, 0.000], [0.500, 0.500, 0.500], [0.250, 0.250, 0.250], [0.750, 0.750, 0.750]]}